# MnH4C2O6

A relaxed MnH4C2O6 crystal (PBE with a Hubbard U, Alexandria via LeMat-Bulk).

Results
Fermi-level density of states ... 0.000 states/eV per atom
Crystal system ... monoclinic
Final energy ... -6.54 eV/atom

a b c (Å): 7.266 7.266 10.047
angles (deg): 126.92 126.92 46.70
Element x y z (fractional)
Mn (0.100, 0.900, 0.750)
Mn (0.900, 0.100, 0.250)
H (0.002, 0.697, 0.856)
H (0.155, 0.355, 0.354)
H (0.303, 0.998, 0.644)
H (0.355, 0.155, 0.854)
H (0.645, 0.845, 0.146)
H (0.697, 0.002, 0.356)
H (0.845, 0.645, 0.646)
H (0.998, 0.303, 0.144)
C (0.348, 0.548, 0.147)
C (0.452, 0.652, 0.353)
C (0.548, 0.348, 0.647)
C (0.652, 0.452, 0.853)
O (0.070, 0.252, 0.244)
O (0.114, 0.706, 0.071)
O (0.252, 0.070, 0.744)
O (0.294, 0.886, 0.429)
O (0.313, 0.505, 0.571)
O (0.495, 0.687, 0.929)
O (0.505, 0.313, 0.071)
O (0.687, 0.495, 0.429)
O (0.706, 0.114, 0.571)
O (0.748, 0.930, 0.256)
O (0.886, 0.294, 0.929)
O (0.930, 0.748, 0.756)